No. 1
CaMoPb at its PBEsol-relaxed geometry. Source: Alexandria, functional SCAN.

As for the space-group type: I4mm (107). For the volume, the calculation gives 134 Å³/cell. Its final energy is -39.582 eV/atom. The value obtained for the formation energy is 0.528 eV/atom. The density of states at the Fermi level comes out at 1.14 states/eV/f.u.

Cell lengths 3.085, 3.085, 14.106 Å; angles 90.00, 90.00, 90.00 degrees
Element x y z (fractional)
Ca (0.000, 0.000, 0.000)
Ca (0.500, 0.500, 0.500)
Mo (0.000, 0.000, 0.665)
Mo (0.500, 0.500, 0.165)
Pb (0.000, 0.000, 0.311)
Pb (0.500, 0.500, 0.811)

=====

No. 2
Cs2LiI3 at its PBEsol-relaxed geometry. Source: Alexandria, functional SCAN.

As for the space-group type: Cmc2_1 (36). For the volume, the calculation gives 514 Å³/cell. Its formation energy from raw total energies is -1.60 eV per atom. Its final energy is -32.970 eV/atom. The density of states at the Fermi level comes out at 0.00 states/eV/f.u.

Cell lengths 13.063, 13.063, 8.492 Å; angles 90.00, 90.00, 159.24 degrees
Element x y z (fractional)
Cs (0.006, 0.994, 0.500)
Cs (0.176, 0.824, 0.997)
Cs (0.824, 0.176, 0.497)
Cs (0.994, 0.006, 0.000)
Li (0.349, 0.651, 0.003)
Li (0.651, 0.349, 0.503)
I (0.208, 0.792, 0.513)
I (0.413, 0.587, 0.743)
I (0.415, 0.585, 0.259)
I (0.585, 0.415, 0.759)
I (0.587, 0.413, 0.243)
I (0.792, 0.208, 0.013)

=====

No. 3
LaAlCu4 at its PBEsol-relaxed geometry. Source: Alexandria, functional SCAN.

As for the space-group type: Cmmm (65). For the volume, the calculation gives 189 Å³/cell. Its final energy is -18.927 eV/atom. The value obtained for the formation energy is -0.318 eV/atom. The density of states at the Fermi level comes out at 2.95 states/eV/f.u.

Cell lengths 5.202, 8.822, 4.123 Å; angles 90.00, 90.00, 90.00 degrees
Element x y z (fractional)
La (0.000, 0.000, 0.000)
La (0.500, 0.500, 0.000)
Al (0.000, 0.500, 0.500)
Al (0.500, 0.000, 0.500)
Cu (0.000, 0.333, 0.000)
Cu (0.000, 0.667, 0.000)
Cu (0.250, 0.250, 0.500)
Cu (0.250, 0.750, 0.500)
Cu (0.500, 0.167, 0.000)
Cu (0.500, 0.833, 0.000)
Cu (0.750, 0.250, 0.500)
Cu (0.750, 0.750, 0.500)